1.
Au4C: optimized geometry, PBE.

```
Au4C
1.0
-2.439 -0.958 -1.329
1.988 -1.925 0.986
-5.281 -0.359 9.954
Au C
4 1
direct
0.667 0.333 0.142 Au
0.333 0.667 0.858 Au
0.667 0.333 0.389 Au
0.333 0.667 0.611 Au
0.000 0.000 0.000 C
```

Calculated values
- Offset from the most stable computed form: 0.261 eV per atom

2.
AuC5: optimized geometry, PBE.

```
AuC5
1.0
1.271 -4.843 0.000
1.271 4.843 0.000
0.000 0.000 7.558
Au C
1 5
direct
0.971 0.029 0.000 Au
0.190 0.810 0.000 C
0.752 0.248 0.000 C
0.387 0.613 0.500 C
0.806 0.194 0.500 C
0.227 0.773 0.500 C
```

Calculated values
- Offset from the most stable computed form: 0.726 eV per atom